# KNb3Ir PBE optimized geometry
data_KNb3Ir
_chemical_formula_sum 'K1 Nb3 Ir1'
_symmetry_space_group_name_H-M 'P 1'
_symmetry_Int_Tables_number 1
_symmetry_space_group_name_Hall 'P 1'
_cell_length_a 4.532
_cell_length_b 4.532
_cell_length_c 4.532
_cell_angle_alpha 90.00
_cell_angle_beta 90.00
_cell_angle_gamma 90.00
loop_
_atom_site_label
_atom_site_type_symbol
_atom_site_fract_x
_atom_site_fract_y
_atom_site_fract_z
_atom_site_occupancy
Nb1 Nb 0.000 0.500 0.000 1
Nb2 Nb 0.000 0.000 0.500 1
Nb3 Nb 0.500 0.000 0.000 1
Ir1 Ir 0.500 0.500 0.500 1
K1 K 0.000 0.000 0.000 1
# SG = Pm-3m, No. 221
# E_tot = -5.4222 eV per atom
# ΔE_f = 2611 meV/atom
# E above lowest polymorph = 1514.5 meV/atom
# size of the total moment = 0.00 μB/f.u.
# DOS at the Fermi energy = 1.428 states/eV per atom